(1)
Density functional theory data (GGA-PBE) for a geometry-optimized NaFeH2 structure.

abc: 5.475 5.475 5.475
angles: 90.00 90.00 90.00
Space group Fm-3m (No. 225)
Symmetry-distinct sites (fractional):
Na (0.000, 0.000, 0.000) [4 per cell]
Fe (0.000, 0.000, 0.500) [4 per cell]
H (0.250, 0.250, 0.250) [8 per cell]

Summary:
- ρ: 3.272 g/cm3
- N(E_F): 0.46 states/eV per atom
- ΔE to the lowest computed polymorph: 648 meV per atom


(2)
Density functional theory data (GGA-PBE) for a geometry-optimized BaTc2W structure.

abc: 3.020 5.359 10.133
angles: 90.00 90.00 90.00
Space group Imm2 (No. 44)
Symmetry-distinct sites (fractional):
Ba (0.000, 0.000, 0.000) [2 per cell]
Tc (0.000, 0.000, 0.502) [2 per cell]
Tc (0.000, 0.500, 0.790) [2 per cell]
W (0.000, 0.500, 0.205) [2 per cell]

Summary:
- ρ: 10.471 g/cm3
- N(E_F): 1.09 states/eV per atom
- Energy relative to the elements: 1.17 eV per atom
- ΔE to the lowest computed polymorph: 582 meV per atom


(3)
Density functional theory data (GGA-PBE) for a geometry-optimized ReNiIr structure.

abc: 2.725 2.725 10.964
angles: 90.00 90.00 90.00
Space group I4mm (No. 107)
Symmetry-distinct sites (fractional):
Re (0.000, 0.000, 0.000) [2 per cell]
Ni (0.000, 0.000, 0.340) [2 per cell]
Ir (0.000, 0.000, 0.670) [2 per cell]

Summary:
- ρ: 17.827 g/cm3
- N(E_F): 1.40 states/eV per atom
- Energy relative to the elements: -0.04 eV per atom
- ΔE to the lowest computed polymorph: 111 meV per atom


(4)
Density functional theory data (GGA-PBE) for a geometry-optimized Li6SbS2 structure.

abc: 4.048 4.048 19.359
angles: 90.00 90.00 90.00
Space group I4/mmm (No. 139)
Symmetry-distinct sites (fractional):
Li (0.000, 0.500, 0.102) [8 per cell]
Li (0.000, 0.500, 0.250) [4 per cell]
Sb (0.000, 0.000, 0.000) [2 per cell]
S (0.000, 0.000, 0.324) [4 per cell]

Summary:
- ρ: 2.382 g/cm3
- N(E_F): 0.09 states/eV per atom
- ΔE to the lowest computed polymorph: 0 meV per atom
- E_form (uncorrected): -9.15 eV/f.u.


(5)
Density functional theory data (GGA-PBE) for a geometry-optimized BaFeAg2 structure.

abc: 4.904 4.904 4.152
angles: 90.00 90.00 90.00
Space group P4/mmm (No. 123)
Symmetry-distinct sites (fractional):
Ba (0.000, 0.000, 0.000) [1 per cell]
Fe (0.500, 0.500, 0.000) [1 per cell]
Ag (0.000, 0.500, 0.500) [2 per cell]

Summary:
- ρ: 6.802 g/cm3
- N(E_F): 1.06 states/eV per atom
- Energy relative to the elements: 0.58 eV per atom
- ΔE to the lowest computed polymorph: 385 meV per atom


(6)
Density functional theory data (GGA-PBE) for a geometry-optimized Zr2TeCl structure.

abc: 3.676 3.676 6.598
angles: 90.00 90.00 90.00
Space group P4mm (No. 99)
Symmetry-distinct sites (fractional):
Zr (0.000, 0.000, 0.000) [1 per cell]
Zr (0.500, 0.500, 0.305) [1 per cell]
Te (0.500, 0.500, 0.778) [1 per cell]
Cl (0.000, 0.000, 0.401) [1 per cell]

Summary:
- ρ: 6.434 g/cm3
- N(E_F): 0.86 states/eV per atom
- ΔE to the lowest computed polymorph: 94 meV per atom
- E_form (uncorrected): -3.07 eV/f.u.


(7)
Density functional theory data (GGA-PBE) for a geometry-optimized YSbTe2S structure.

abc: 5.257 5.257 5.195
angles: 90.00 90.00 90.00
Space group P4/mmm (No. 123)
Symmetry-distinct sites (fractional):
Y (0.000, 0.000, 0.000) [1 per cell]
Sb (0.500, 0.500, 0.000) [1 per cell]
Te (0.000, 0.500, 0.500) [2 per cell]
S (0.500, 0.500, 0.500) [1 per cell]

Summary:
- ρ: 5.760 g/cm3
- N(E_F): 0.69 states/eV per atom
- ΔE to the lowest computed polymorph: 0 meV per atom
- E_form (uncorrected): -0.44 eV/f.u.


(8)
Density functional theory data (GGA-PBE) for a geometry-optimized CdGaTcO2 structure.

abc: 4.092 4.092 5.245
angles: 90.00 90.00 90.00
Space group P4/mmm (No. 123)
Symmetry-distinct sites (fractional):
Cd (0.000, 0.000, 0.000) [1 per cell]
Ga (0.000, 0.000, 0.500) [1 per cell]
Tc (0.500, 0.500, 0.500) [1 per cell]
O (0.000, 0.500, 0.000) [2 per cell]

Summary:
- ρ: 5.900 g/cm3
- N(E_F): 0.44 states/eV per atom
- E_form (uncorrected): 3.74 eV/f.u.


(9)
Density functional theory data (GGA-PBE) for a geometry-optimized Na3Y3GeTe8 structure.

abc: 15.019 8.657 9.215
angles: 90.00 123.01 90.00
Space group C2/m (No. 12)
Symmetry-distinct sites (fractional):
Na (0.000, 0.000, 0.000) [2 per cell]
Na (0.250, 0.250, 0.000) [4 per cell]
Y (0.000, 0.500, 0.500) [2 per cell]
Y (0.250, 0.250, 0.500) [4 per cell]
Ge (0.000, 0.000, 0.500) [2 per cell]
Te (0.006, 0.239, 0.279) [8 per cell]
Te (0.233, 0.000, 0.721) [4 per cell]
Te (0.245, 0.500, 0.734) [4 per cell]

Summary:
- ρ: 4.724 g/cm3
- N(E_F): 0.40 states/eV per atom
- E_form (uncorrected): -14.92 eV/f.u.


(10)
Density functional theory data (GGA-PBE) for a geometry-optimized NdPuOsAu structure.

abc: 7.116 7.116 7.116
angles: 90.00 90.00 90.00
Space group F-43m (No. 216)
Symmetry-distinct sites (fractional):
Nd (0.000, 0.000, 0.000) [4 per cell]
Pu (0.000, 0.000, 0.500) [4 per cell]
Os (0.250, 0.250, 0.750) [4 per cell]
Au (0.250, 0.250, 0.250) [4 per cell]

Summary:
- ρ: 14.291 g/cm3
- N(E_F): 2.55 states/eV per atom
- Energy relative to the elements: -0.16 eV per atom


(11)
Density functional theory data (GGA-PBE) for a geometry-optimized Sm4TmPu3S8 structure.

abc: 7.9146 7.9146 19.5253
angles: 90.00 90.00 120.00
Space group R-3m (No. 166, hexagonal axes)
Symmetry-distinct sites (fractional):
Sm (0.0000, 0.0000, 0.0000) [3 per cell]
Sm (0.0000, 0.5000, 0.0000) [9 per cell]
Tm (0.0000, 0.0000, 0.5000) [3 per cell]
Pu (0.0000, 0.5000, 0.5000) [9 per cell]
S (0.0000, 0.0000, 0.2479) [6 per cell]
S (0.0043, 0.5021, 0.2472) [18 per cell]

Summary:
- ρ: 8.272 g/cm3
- N(E_F): 1.50 states/eV per atom
- E_form (uncorrected): -31.00 eV/f.u.


(12)
Density functional theory data (GGA-PBE) for a geometry-optimized HfTeF structure.

abc: 10.900 4.045 5.671
angles: 90.00 94.17 90.00
Space group C2/m (No. 12)
Symmetry-distinct sites (fractional):
Hf (0.103, 0.000, 0.220) [4 per cell]
Te (0.172, 0.000, 0.738) [4 per cell]
F (0.055, 0.500, 0.237) [4 per cell]

Summary:
- ρ: 8.659 g/cm3
- N(E_F): 0.20 states/eV per atom
- E_form (uncorrected): -5.40 eV/f.u.


(13)
Density functional theory data (GGA-PBE) for a geometry-optimized HfNi3 structure.

abc: 5.2700 5.2700 4.3025
angles: 90.00 90.00 120.00
Space group P6_3/mmc (No. 194)
Symmetry-distinct sites (fractional):
Hf (0.3333, 0.6667, 0.2500) [2 per cell]
Ni (0.1574, 0.3149, 0.7500) [6 per cell]

Summary:
- ρ: 11.379 g/cm3
- N(E_F): 0.61 states/eV per atom
- Energy relative to the elements: -0.52 eV per atom